The following is a DFT calculation (PBE) of an optimized crystal structure of ZrZnCl2.

The calculation puts the formation energy from raw total energies at -0.68 eV per atom. The calculation puts the energy above the lowest structure with this stoichiometry at 276 meV/atom. Its magnetization is 0.0 μB/cell.

Cell lengths 3.1886, 4.5659, 13.4138 Å; angles 90.00, 90.00, 90.00 degrees
Closest atoms and distances in Å follow each position.
Space group Imm2 (No. 44)
Asymmetric unit:
Zr (0.0000, 0.0000, 0.0000)  6 Cl 2.60-2.81, 2 Zn 2.90
Zn (0.0000, 0.5000, 0.6804)  2 Zr 2.90, 2 Cl 3.08, 2 Zn 3.19
Cl (0.0000, 0.0000, 0.5261)  4 Zr 2.81, 2 Zn 3.08
Cl (0.0000, 0.5000, 0.3469)  2 Zr 2.60